A plane-wave DFT calculation with PBE-GGA was carried out for a relaxed structure of PmGa4Cu.

Geometry as extended XYZ:
```
12
Lattice="2.087 -7.907 0.000 2.087 7.907 0.000 0.000 0.000 6.748" Properties=species:S:1:pos:R:3 pbc="T T T"
Pm 2.087 6.091 5.061
Pm 2.087 -6.091 1.687
Ga 2.087 6.762 1.687
Ga 2.087 2.894 3.724
Ga 2.087 2.894 6.398
Ga 2.087 0.000 0.000
Ga 2.087 0.000 3.374
Ga 2.087 -2.894 0.350
Ga 2.087 -2.894 3.024
Ga 2.087 -6.762 5.061
Cu 2.087 4.336 1.687
Cu 2.087 -4.336 5.061
```

Calculated values
Energy of formation   -417 meV per atom
Spin magnetization   0.0 μB/cell
Total energy   -3.910 eV/atom

A plane-wave DFT calculation with PBE-GGA was carried out for a relaxed structure of Pm2GaCu5.

Geometry as extended XYZ:
```
8
Lattice="-3.013 3.013 4.221 3.013 -3.013 4.221 3.013 3.013 -4.221" Properties=species:S:1:pos:R:3 pbc="T T T"
Pm 3.013 0.000 0.000
Pm 0.000 3.013 0.000
Ga 0.000 0.000 2.253
Cu 1.768 1.768 2.107
Cu 1.245 -1.245 6.328
Cu -1.245 1.245 6.328
Cu 1.245 1.245 6.328
Cu 0.000 0.000 8.124
```

Calculated values
Energy of formation   -78 meV per atom
Spin magnetization   0.0 μB/cell
Polymorph energy (0 for the lowest one)   1.36 eV per formula unit
Total energy   -4.204 eV/atom

A plane-wave DFT calculation with PBE-GGA was carried out for a relaxed structure of PmGa6Cu.

Geometry as extended XYZ:
```
8
Lattice="4.410 0.000 0.000 0.000 4.410 0.000 0.000 0.000 7.717" Properties=species:S:1:pos:R:3 pbc="T T T"
Pm 0.000 0.000 0.000
Ga 0.000 2.205 2.550
Ga 0.000 2.205 5.167
Ga 2.205 0.000 2.550
Ga 2.205 0.000 5.167
Ga 2.205 2.205 1.206
Ga 2.205 2.205 6.511
Cu 0.000 0.000 3.859
```

Calculated values
Energy of formation   -332 meV per atom
Spin magnetization   0.0 μB/cell
Total energy   -3.708 eV/atom